No. 1
{"formula": "Y3SnSb", "functional": "PBE", "state": "optimized geometry", "spacegroup": "Pm-3m, No. 221", "e_form_raw_ev_per_atom": -0.176, "de_polymorph_mev_per_atom": 540, "lattice_angstrom": [[5.6179, 0.0000, 0.0000], [0.0000, 5.6179, 0.0000], [0.0000, 0.0000, 5.6179]], "species": ["Y", "Y", "Y", "Sn", "Sb"], "fractional_positions": [[0.0000, 0.0000, 0.5000], [0.0000, 0.5000, 0.0000], [0.5000, 0.0000, 0.0000], [0.5000, 0.5000, 0.5000], [0.0000, 0.0000, 0.0000]]}

No. 2
{"formula": "Ti2InCoRh", "functional": "PBE", "state": "optimized geometry", "spacegroup": "P4/mmm, No. 123", "delta_e_f_ev_per_atom": 1.48, "lattice_angstrom": [[4.9420, 0.0000, 0.0000], [0.0000, 4.9420, 0.0000], [0.0000, 0.0000, 4.4798]], "species": ["Ti", "Ti", "In", "Co", "Rh"], "fractional_positions": [[0.0000, 0.5000, 0.0000], [0.5000, 0.0000, 0.0000], [0.0000, 0.0000, 0.0000], [0.0000, 0.0000, 0.5000], [0.5000, 0.5000, 0.5000]]}

No. 3
{"formula": "Nd8SmSb6", "functional": "PBE", "state": "optimized geometry", "spacegroup": "R-3, No. 148", "e_form_raw_ev_per_atom": -0.825, "lattice_angstrom": [[4.1250, 2.3815, 8.5758], [-4.1250, 2.3815, 8.5758], [0.0000, -4.7631, 8.5758]], "species": ["Nd", "Nd", "Nd", "Nd", "Nd", "Nd", "Nd", "Nd", "Sm", "Sb", "Sb", "Sb", "Sb", "Sb", "Sb"], "fractional_positions": [[0.0431, 0.3790, 0.7134], [0.1667, 0.1667, 0.1667], [0.2866, 0.9569, 0.6210], [0.3790, 0.7134, 0.0431], [0.6210, 0.2866, 0.9569], [0.7134, 0.0431, 0.3790], [0.8333, 0.8333, 0.8333], [0.9569, 0.6210, 0.2866], [0.5000, 0.5000, 0.5000], [0.1021, 0.7640, 0.4326], [0.2360, 0.5674, 0.8979], [0.4326, 0.1021, 0.7640], [0.5674, 0.8979, 0.2360], [0.7640, 0.4326, 0.1021], [0.8979, 0.2360, 0.5674]]}

No. 4
{"formula": "BeTcSe2", "functional": "PBE", "state": "optimized geometry", "spacegroup": "R-3m, No. 166", "e_form_raw_ev_per_atom": 0.093, "lattice_angstrom": [[1.6546, 0.9553, 6.5502], [-1.6546, 0.9553, 6.5502], [0.0000, -1.9106, 6.5502]], "species": ["Be", "Tc", "Se", "Se"], "fractional_positions": [[0.0000, 0.0000, 0.0000], [0.5000, 0.5000, 0.5000], [0.2582, 0.2582, 0.2582], [0.7418, 0.7418, 0.7418]]}

No. 5
{"formula": "Tb4Zn2In", "functional": "PBE", "state": "optimized geometry", "spacegroup": "R-3m, No. 166", "delta_e_f_ev_per_atom": -0.22, "de_polymorph_mev_per_atom": 0, "lattice_angstrom": [[2.5459, 1.4699, 8.1538], [-2.5459, 1.4699, 8.1538], [0.0000, -2.9398, 8.1538]], "species": ["Tb", "Tb", "Tb", "Tb", "Zn", "Zn", "In"], "fractional_positions": [[0.1137, 0.1137, 0.1137], [0.3675, 0.3675, 0.3675], [0.6325, 0.6325, 0.6325], [0.8863, 0.8863, 0.8863], [0.2450, 0.2450, 0.2450], [0.7550, 0.7550, 0.7550], [0.5000, 0.5000, 0.5000]]}

No. 6
{"formula": "NdErAg2Te4", "functional": "PBE", "state": "optimized geometry", "spacegroup": "I222, No. 23", "e_form_raw_ev_per_atom": -0.713, "lattice_angstrom": [[-3.7605, 4.0529, 4.4355], [3.7605, -4.0529, 4.4355], [3.7605, 4.0529, -4.4355]], "species": ["Nd", "Er", "Ag", "Ag", "Te", "Te", "Te", "Te"], "fractional_positions": [[0.0000, 0.0000, 0.0000], [0.5000, 0.0000, 0.5000], [0.3147, 0.5000, 0.8147], [0.6853, 0.5000, 0.1853], [0.0864, 0.0332, 0.4842], [0.4510, 0.9668, 0.0532], [0.5490, 0.6021, 0.5158], [0.9136, 0.3979, 0.9468]]}

No. 7
{"formula": "Sm3Dy2In2", "functional": "PBE", "state": "optimized geometry", "spacegroup": "Cmmm, No. 65", "delta_e_f_ev_per_atom": -0.16, "de_polymorph_mev_per_atom": 0, "lattice_angstrom": [[2.4599, -12.0450, 0.0000], [2.4599, 12.0450, 0.0000], [0.0000, 0.0000, 3.4944]], "species": ["Sm", "Sm", "Sm", "Dy", "Dy", "In", "In"], "fractional_positions": [[0.0000, 0.0000, 0.0000], [0.1412, 0.8588, 0.0000], [0.8588, 0.1412, 0.0000], [0.2874, 0.7126, 0.5000], [0.7126, 0.2874, 0.5000], [0.4287, 0.5713, 0.5000], [0.5713, 0.4287, 0.5000]]}

No. 8
{"formula": "LiHgCl4", "functional": "PBE", "state": "optimized geometry", "spacegroup": "F-43m, No. 216", "e_form_raw_ev_per_atom": 0.029, "de_polymorph_mev_per_atom": 797, "lattice_angstrom": [[0.0000, 4.3183, 4.3183], [4.3183, 0.0000, 4.3183], [4.3183, 4.3183, 0.0000]], "species": ["Li", "Hg", "Cl", "Cl", "Cl", "Cl"], "fractional_positions": [[0.0000, 0.0000, 0.0000], [0.2500, 0.2500, 0.2500], [0.1241, 0.6253, 0.6253], [0.6253, 0.1241, 0.6253], [0.6253, 0.6253, 0.1241], [0.6253, 0.6253, 0.6253]]}

No. 9
{"formula": "YZrCdTc", "functional": "PBE", "state": "optimized geometry", "spacegroup": "F-43m, No. 216", "delta_e_f_ev_per_atom": -0.09, "lattice_angstrom": [[0.0000, 3.4871, 3.4871], [3.4871, 0.0000, 3.4871], [3.4871, 3.4871, 0.0000]], "species": ["Y", "Zr", "Cd", "Tc"], "fractional_positions": [[0.0000, 0.0000, 0.0000], [0.5000, 0.5000, 0.5000], [0.2500, 0.2500, 0.2500], [0.7500, 0.7500, 0.7500]]}

No. 10
{"formula": "LiSbSN2", "functional": "PBE", "state": "optimized geometry", "spacegroup": "P4/mmm, No. 123", "e_form_raw_ev_per_atom": 1.392, "de_polymorph_mev_per_atom": 554, "lattice_angstrom": [[4.0073, 0.0000, 0.0000], [0.0000, 4.0073, 0.0000], [0.0000, 0.0000, 4.5438]], "species": ["Li", "Sb", "S", "N", "N"], "fractional_positions": [[0.0000, 0.0000, 0.0000], [0.5000, 0.5000, 0.5000], [0.0000, 0.0000, 0.5000], [0.0000, 0.5000, 0.0000], [0.5000, 0.0000, 0.0000]]}

No. 11
{"formula": "HfHF3", "functional": "PBE", "state": "optimized geometry", "spacegroup": "Pm-3m, No. 221", "de_polymorph_mev_per_atom": 1078, "lattice_angstrom": [[3.5753, 0.0000, 0.0000], [0.0000, 3.5753, 0.0000], [0.0000, 0.0000, 3.5753]], "species": ["Hf", "H", "F", "F", "F"], "fractional_positions": [[0.0000, 0.0000, 0.0000], [0.5000, 0.5000, 0.5000], [0.0000, 0.5000, 0.5000], [0.5000, 0.0000, 0.5000], [0.5000, 0.5000, 0.0000]]}

No. 12
{"formula": "Mn2H2Au", "functional": "PBE", "state": "optimized geometry", "spacegroup": "I4/mmm, No. 139", "e_tot_ev_per_atom": -5.645, "lattice_angstrom": [[-1.5726, 1.5726, 5.2040], [1.5726, -1.5726, 5.2040], [1.5726, 1.5726, -5.2040]], "species": ["Mn", "Mn", "H", "H", "Au"], "fractional_positions": [[0.1600, 0.1600, 0.0000], [0.8400, 0.8400, 0.0000], [0.2500, 0.7500, 0.5000], [0.7500, 0.2500, 0.5000], [0.5000, 0.5000, 0.0000]]}

We obtain ρ values of 4.8 5.7 6.7 7.1 8.0 6.4 8.1 3.6 7.6 4.3 8.6 10.0 g/cm3 for the records listed above, in that order.